La2NdCo2Sn7: optimized geometry, PBE.

Properties
E: -5.290 eV/atom
V: 296 Å³ per cell
Space group: Cmmm, No. 65

a b c (Å): 14.068 14.068 4.618
angles (deg): 90.00 90.00 161.12
Fractional positions:
La 0.184 0.816 0.000
La 0.816 0.184 0.000
Nd 0.500 0.500 0.500
Co 0.372 0.628 0.500
Co 0.628 0.372 0.500
Sn 0.000 0.000 0.000
Sn 0.091 0.909 0.500
Sn 0.282 0.718 0.500
Sn 0.410 0.590 0.000
Sn 0.590 0.410 0.000
Sn 0.718 0.282 0.500
Sn 0.909 0.091 0.500